No. 1
DFT (PBE-GGA) results for BaHN2O after structural relaxation.

```
BaHN2O
1.0
3.5384 0.0000 0.0000
0.0000 3.5384 0.0000
0.0000 0.0000 5.2206
Ba H N O
1 1 2 1
Direct
0.0000 0.0000 0.0000
0.5000 0.5000 0.5000
0.0000 0.5000 0.5000
0.5000 0.0000 0.5000
0.5000 0.5000 0.0000
```

Computed properties:
**Size of the total moment**: 0.50 μB per atom
**Calculated volume**: 13.1 A^3/atom
**N(E_F)**: 2.359 states/eV per cell
**DFT total energy**: -21.70 eV per formula unit

=====

No. 2
DFT (PBE-GGA) results for Ba4H2NO after structural relaxation.

```
Ba4H2NO
1.0
6.9156 0.0000 0.0000
0.0000 4.0138 0.0000
-2.2978 0.0000 6.8189
Ba H N O
4 2 1 1
Direct
0.2405 0.0000 0.2269
0.2568 0.5000 0.7776
0.7432 0.5000 0.2224
0.7595 0.0000 0.7731
0.0000 0.0000 0.5000
0.5000 0.5000 0.5000
0.0000 0.5000 0.0000
0.5000 0.0000 0.0000
```

Computed properties:
**Size of the total moment**: 0.00 μB per atom
**Calculated volume**: 23.7 A^3/atom
**N(E_F)**: 3.472 states/eV per cell
**DFT total energy**: -35.01 eV per formula unit

=====

No. 3
DFT (PBE-GGA) results for BaP6H16N4O18 after structural relaxation.

```
BaP6H16N4O18
1.0
11.3501 0.0000 0.0000
-5.6750 9.8295 0.0000
0.0000 0.0000 9.1061
Ba P H N O
2 12 32 8 36
Direct
0.3333 0.6667 0.0000
0.6667 0.3333 0.5000
0.0024 0.5464 0.2661
0.0120 0.7161 0.0116
0.2839 0.2959 0.0116
0.2959 0.2839 0.5116
0.4536 0.4560 0.2661
0.4560 0.4536 0.7661
0.5440 0.9976 0.2661
0.5464 0.0024 0.7661
0.7041 0.9880 0.0116
0.7161 0.0120 0.5116
0.9880 0.7041 0.5116
0.9976 0.5440 0.7661
0.0416 0.2162 0.6615
0.0448 0.3379 0.2206
0.0570 0.2179 0.3204
0.0889 0.3084 0.8196
0.1610 0.9430 0.3204
0.1745 0.9584 0.6615
0.2162 0.0416 0.1615
0.2179 0.0570 0.8204
0.2196 0.9111 0.8196
0.2417 0.6542 0.4709
0.2931 0.9552 0.2206
0.3084 0.0889 0.3196
0.3333 0.6667 0.6220
0.3379 0.0448 0.7206
0.3458 0.5876 0.4709
0.4124 0.7583 0.4709
0.5876 0.3458 0.9709
0.6542 0.2417 0.9709
0.6621 0.7069 0.2206
0.6667 0.3333 0.1220
0.6916 0.7804 0.8196
0.7069 0.6621 0.7206
0.7583 0.4124 0.9709
0.7804 0.6916 0.3196
0.7821 0.8390 0.3204
0.7838 0.8255 0.6615
0.8255 0.7838 0.1615
0.8390 0.7821 0.8204
0.9111 0.2196 0.3196
0.9430 0.1610 0.8204
0.9552 0.2931 0.7206
0.9584 0.1745 0.1615
0.0066 0.2433 0.7536
0.2367 0.9934 0.7536
0.2433 0.0066 0.2536
0.3333 0.6667 0.5086
0.6667 0.3333 0.0086
0.7567 0.7633 0.7536
0.7633 0.7567 0.2536
0.9934 0.2367 0.2536
0.0178 0.6782 0.6786
0.0584 0.6280 0.4224
0.0727 0.8547 0.4885
0.1184 0.5334 0.2053
0.1340 0.5559 0.7834
0.1453 0.2180 0.4885
0.1619 0.7917 0.9815
0.2083 0.3702 0.9815
0.2180 0.1453 0.9885
0.3218 0.3396 0.6786
0.3396 0.3218 0.1786
0.3702 0.2083 0.4815
0.3720 0.4304 0.4224
0.4150 0.8816 0.2053
0.4219 0.8660 0.7834
0.4304 0.3720 0.9224
0.4441 0.5781 0.7834
0.4666 0.5850 0.2053
0.5334 0.1184 0.7053
0.5559 0.1340 0.2834
0.5696 0.9416 0.4224
0.5781 0.4441 0.2834
0.5850 0.4666 0.7053
0.6280 0.0584 0.9224
0.6298 0.8381 0.9815
0.6604 0.9822 0.6786
0.6782 0.0178 0.1786
0.7820 0.9273 0.4885
0.7917 0.1619 0.4815
0.8381 0.6298 0.4815
0.8547 0.0727 0.9885
0.8660 0.4219 0.2834
0.8816 0.4150 0.7053
0.9273 0.7820 0.9885
0.9416 0.5696 0.9224
0.9822 0.6604 0.1786
```

Computed properties:
**Size of the total moment**: 0.00 μB per atom
**Calculated volume**: 11.3 A^3/atom
**N(E_F)**: 0.000 states/eV per cell
**DFT total energy**: -278.43 eV per formula unit

=====

No. 4
DFT (PBE-GGA) results for Ba6P2H3N after structural relaxation.

```
Ba6P2H3N
1.0
3.8210 -6.7300 0.0000
3.8210 6.7300 0.0000
-2.3847 0.0000 7.0290
Ba P H N
6 2 3 1
Direct
0.0729 0.3700 0.2341
0.2335 0.2335 0.7720
0.3700 0.0729 0.2341
0.6300 0.9271 0.7659
0.7665 0.7665 0.2280
0.9271 0.6300 0.7659
0.3296 0.6704 0.0000
0.6704 0.3296 0.0000
0.1371 0.8629 0.5000
0.5000 0.5000 0.5000
0.8629 0.1371 0.5000
0.0000 0.0000 0.0000
```

Computed properties:
**Size of the total moment**: 0.00 μB per atom
**Calculated volume**: 30.1 A^3/atom
**DFT total energy**: -48.71 eV per formula unit

=====

No. 5
DFT (PBE-GGA) results for BaPHN3 after structural relaxation.

```
BaPHN3
1.0
2.6973 -6.0964 0.0000
2.6973 6.0964 0.0000
-1.9308 0.0000 4.5918
Ba P H N
2 2 2 6
Direct
0.1741 0.8259 0.7500
0.8259 0.1741 0.2500
0.4662 0.5338 0.2500
0.5338 0.4662 0.7500
0.0368 0.9632 0.2500
0.9632 0.0368 0.7500
0.2430 0.3080 0.8593
0.3080 0.2430 0.3593
0.3295 0.6705 0.2500
0.6705 0.3295 0.7500
0.6920 0.7570 0.6407
0.7570 0.6920 0.1407
```

Computed properties:
**Size of the total moment**: 0.17 μB per atom
**Calculated volume**: 12.6 A^3/atom
**DFT total energy**: -36.62 eV per formula unit

=====

No. 6
DFT (PBE-GGA) results for Ba3Pa2H2N5 after structural relaxation.

```
Ba3Pa2H2N5
1.0
-2.2100 2.2100 11.8770
2.2100 -2.2100 11.8770
2.2100 2.2100 -11.8770
Ba Pa H N
3 2 2 5
Direct
0.0000 0.0000 0.0000
0.1786 0.1786 0.0000
0.8214 0.8214 0.0000
0.4073 0.4073 0.0000
0.5927 0.5927 0.0000
0.2999 0.2999 0.0000
0.7001 0.7001 0.0000
0.1055 0.6055 0.5000
0.3945 0.8945 0.5000
0.5000 0.5000 0.0000
0.6055 0.1055 0.5000
0.8945 0.3945 0.5000
```

Computed properties:
**Size of the total moment**: 0.00 μB per atom
**Calculated volume**: 19.3 A^3/atom
**N(E_F)**: 5.491 states/eV per cell
**DFT total energy**: -85.85 eV per formula unit

=====

No. 7
DFT (PBE-GGA) results for BaHPb2N after structural relaxation.

```
BaHPb2N
1.0
4.8815 0.0000 0.0000
0.0000 4.8815 0.0000
0.0000 0.0000 5.8466
Ba H Pb N
1 1 2 1
Direct
0.0000 0.0000 0.0000
0.5000 0.5000 0.0000
0.0000 0.5000 0.5000
0.5000 0.0000 0.5000
0.0000 0.0000 0.5000
```

Computed properties:
**Size of the total moment**: 0.16 μB per atom
**Calculated volume**: 27.9 A^3/atom
**N(E_F)**: 4.538 states/eV per cell
**DFT total energy**: -18.76 eV per formula unit

=====

No. 8
DFT (PBE-GGA) results for Ba6HPb2N after structural relaxation.

```
Ba6HPb2N
1.0
-3.9824 3.9824 5.6327
3.9824 -3.9824 5.6327
3.9824 3.9824 -5.6327
Ba H Pb N
6 1 2 1
Direct
0.0000 0.0000 0.0000
0.0000 0.0000 0.5168
0.0000 0.4832 0.0000
0.4832 0.0000 0.0000
0.4831 0.4831 0.0000
0.4832 0.4832 0.4832
0.7414 0.7414 0.0000
0.4919 0.9919 0.5000
0.9919 0.4919 0.5000
0.2414 0.2414 0.0000
```

Computed properties:
**Size of the total moment**: 0.00 μB per atom
**Calculated volume**: 35.7 A^3/atom
**N(E_F)**: 0.475 states/eV per cell
**DFT total energy**: -36.19 eV per formula unit

=====

No. 9
DFT (PBE-GGA) results for BaHPdN2 after structural relaxation.

```
BaHPdN2
1.0
4.1128 0.0000 0.0000
0.0000 4.1128 0.0000
0.0000 0.0000 4.2685
Ba H Pd N
1 1 1 2
Direct
0.0000 0.0000 0.0000
0.0000 0.0000 0.5000
0.5000 0.5000 0.0000
0.0000 0.5000 0.5000
0.5000 0.0000 0.5000
```

Computed properties:
**Size of the total moment**: 0.28 μB per atom
**Calculated volume**: 14.4 A^3/atom
**N(E_F)**: 3.575 states/eV per cell
**DFT total energy**: -19.04 eV per formula unit

=====

No. 10
DFT (PBE-GGA) results for Ba5PuH2N4 after structural relaxation.

```
Ba5PuH2N4
1.0
7.9966 0.0000 0.0000
0.0000 5.5238 3.2603
0.0000 -5.5238 3.2603
Ba Pu H N
5 1 2 4
Direct
0.0000 0.0000 0.0000
0.2801 0.3034 0.6599
0.2801 0.6599 0.3034
0.7199 0.3034 0.6599
0.7199 0.6599 0.3034
0.5000 0.9996 0.9996
0.0000 0.5434 0.9657
0.0000 0.9657 0.5434
0.2810 0.2016 0.2016
0.5000 0.6459 0.9710
0.5000 0.9710 0.6459
0.7190 0.2016 0.2016
```

Computed properties:
**Size of the total moment**: 0.33 μB per atom
**Calculated volume**: 24.0 A^3/atom
**N(E_F)**: 1.758 states/eV per cell
**DFT total energy**: -70.96 eV per formula unit

=====

No. 11
DFT (PBE-GGA) results for Ba2ReH4N2 after structural relaxation.

```
Ba2ReH4N2
1.0
5.0784 -2.8337 0.0000
5.0784 2.8337 0.0000
-0.1819 0.0000 4.7038
Ba Re H N
2 1 4 2
Direct
0.1760 0.1760 0.2685
0.8240 0.8240 0.7315
0.5000 0.5000 0.0000
0.2007 0.6748 0.2131
0.3252 0.7993 0.7869
0.6748 0.2007 0.2131
0.7993 0.3252 0.7869
0.3390 0.3390 0.7884
0.6610 0.6610 0.2116
```

Computed properties:
**Size of the total moment**: 0.02 μB per atom
**Calculated volume**: 15.0 A^3/atom
**N(E_F)**: 5.516 states/eV per cell
**DFT total energy**: -48.88 eV per formula unit

=====

No. 12
DFT (PBE-GGA) results for BaRe2HN after structural relaxation.

```
BaRe2HN
1.0
5.2050 0.0000 0.0000
0.0000 5.2050 0.0000
0.0000 0.0000 4.3888
Ba Re H N
1 2 1 1
Direct
0.0000 0.0000 0.0000
0.0000 0.5000 0.0000
0.5000 0.0000 0.0000
0.5000 0.5000 0.5000
0.0000 0.0000 0.5000
```

Computed properties:
**Size of the total moment**: 0.00 μB per atom
**Calculated volume**: 23.8 A^3/atom
**N(E_F)**: 12.886 states/eV per cell
**DFT total energy**: -17.21 eV per formula unit